1.
Below is a relaxed TaAl2Ag crystal, with properties calculated at the PBE-GGA level.

Properties
Formation energy ... -0.087 eV per atom
DOS(E_F) ... 2.9 states/eV/f.u.
Total magnetization ... 0.000 μB/f.u.
Space group ... R-3m (166)
Energy above the lowest structure with this stoichiometry ... 54 meV per atom

Cell lengths 9.311, 9.311, 9.311 Å; angles 18.15, 18.15, 18.15 degrees
Fractional coordinates of all 4 atoms:
Al1 0.000 0.000 0.000
Al2 0.500 0.500 0.500
Ag1 0.750 0.750 0.750
Ta1 0.250 0.250 0.250



2.
Below is a relaxed Ca2WBrN crystal, with properties calculated at the PBE-GGA level.

Properties
DOS(E_F) ... 2.8 states/eV/f.u.
Total magnetization ... 4.916 μB/f.u.
Formation energy without anion corrections ... 4.06 eV per formula unit
Space group ... P4/mmm (123)

Cell lengths 4.752, 5.295, 4.752 Å; angles 90.00, 90.00, 90.00 degrees
Last column: magnetic moment on the atom in μB.
Fractional coordinates of all 5 atoms:
Ca1 0.000 0.000 0.500  0.04
Ca2 0.500 0.000 0.000  0.04
Br1 0.000 0.500 0.000  0.06
W1 0.500 0.500 0.500  3.20
N1 0.000 0.000 0.000  0.07



3.
Below is a relaxed SrSiRh3 crystal, with properties calculated at the PBE-GGA level.

Properties
DOS(E_F) ... 6.5 states/eV/f.u.
Total magnetization ... 0.000 μB/f.u.
Formation energy without anion corrections ... -1.88 eV per formula unit
Space group ... Pm-3m (221)
Energy above the lowest structure with this stoichiometry ... 0 meV per atom

Cell lengths 4.554, 4.554, 4.554 Å; angles 90.00, 90.00, 90.00 degrees
Fractional coordinates of all 5 atoms:
Sr1 0.500 0.500 0.500
Si1 0.000 0.000 0.000
Rh1 0.000 0.500 0.000
Rh2 0.000 0.000 0.500
Rh3 0.500 0.000 0.000



Q: What is the formula in the first record?
A: TaAl2Ag



Q: Look up the DOS(E_F) of the second one.
A: 2.8 states/eV/f.u.



Copy entry 3 word for word.
Below is a relaxed SrSiRh3 crystal, with properties calculated at the PBE-GGA level.

Properties
DOS(E_F) ... 6.5 states/eV/f.u.
Total magnetization ... 0.000 μB/f.u.
Formation energy without anion corrections ... -1.88 eV per formula unit
Space group ... Pm-3m (221)
Energy above the lowest structure with this stoichiometry ... 0 meV per atom

Cell lengths 4.554, 4.554, 4.554 Å; angles 90.00, 90.00, 90.00 degrees
Fractional coordinates of all 5 atoms:
Sr1 0.500 0.500 0.500
Si1 0.000 0.000 0.000
Rh1 0.000 0.500 0.000
Rh2 0.000 0.000 0.500
Rh3 0.500 0.000 0.000